# 1
PuPa3P4 | the Alexandria database | PBE | optimized geometry; formation enthalpy at 0 K = -1.290 eV per atom
1.0
-5.469 1.277 0.233
-0.193 -1.798 5.322
1.284 5.170 1.793
Pa P Pu
3 4 1
Cartesian
0.546 1.686 3.558 Pa
-2.831 -0.260 2.778 Pa
-2.092 3.224 1.013 Pa
-2.189 2.325 3.674 P
-0.096 -0.899 2.661 P
-2.734 0.639 0.117 P
0.642 2.585 0.897 P
0.000 0.000 0.000 Pu

---

# 2
Pu3Pa5P8 | the Alexandria database | PBE | optimized geometry; formation enthalpy at 0 K = -1.282 eV per atom
1.0
6.898 0.000 3.951
2.317 6.497 3.951
0.025 0.018 7.953
P Pu Pa
8 3 5
Cartesian
6.927 4.884 11.897 P
3.473 4.878 5.936 P
2.314 1.631 3.958 P
5.767 1.637 9.919 P
2.322 1.637 7.946 P
3.480 4.882 9.919 P
5.761 1.633 5.936 P
6.918 4.878 7.909 P
3.462 0.009 5.952 Pu
0.013 0.009 3.976 Pu
1.171 3.257 5.952 Pu
3.449 0.000 1.976 Pa
0.000 0.000 0.000 Pa
1.159 3.249 1.976 Pa
4.608 3.249 3.951 Pa
4.620 3.257 7.928 Pa

---

# 3
PuPaPRh | the Alexandria database | PBE | optimized geometry; formation enthalpy at 0 K = -0.522 eV per atom
1.0
3.964 0.000 0.000
0.000 3.964 0.000
0.000 0.000 10.791
Pa P Rh Pu
2 2 2 2
Cartesian
0.000 1.982 9.042 Pa
1.982 0.000 1.749 Pa
1.982 0.000 9.827 P
0.000 1.982 0.964 P
0.000 1.982 3.263 Rh
1.982 0.000 7.528 Rh
1.982 1.982 5.395 Pu
0.000 0.000 5.395 Pu

---

# 4
PuPaP2Rh2 | the Alexandria database | PBE | optimized geometry; formation enthalpy at 0 K = -1.104 eV per atom
1.0
4.097 0.000 0.000
-2.049 3.548 0.000
0.000 0.000 7.625
Pa Pu P Rh
1 1 2 2
Cartesian
0.000 0.000 0.000 Pa
0.000 0.000 3.813 Pu
2.049 1.183 5.551 P
0.000 2.365 2.074 P
0.000 2.365 5.940 Rh
2.049 1.183 1.686 Rh

---

# 5
Pu3ScPa2P6 | the Alexandria database | PBE | optimized geometry; formation enthalpy at 0 K = -1.281 eV per atom
1.0
-2.862 -4.347 -4.465
6.495 -0.920 1.999
-3.240 -1.932 5.713
P Pu Pa Sc
6 3 2 1
Cartesian
-1.432 -2.321 -0.279 P
1.639 -1.196 1.843 P
1.944 -4.442 -0.459 P
1.825 -4.878 3.526 P
-1.246 -6.003 1.404 P
-1.551 -2.757 3.706 P
0.197 -3.600 1.624 Pu
-2.913 -4.739 -0.525 Pu
3.306 -2.461 3.772 Pu
3.373 -2.064 -0.158 Pa
0.260 -3.204 -2.308 Pa
0.000 0.000 0.000 Sc

---

# 6
PuScPa2P4 | the Alexandria database | PBE | optimized geometry; formation enthalpy at 0 K = -1.319 eV per atom
1.0
3.941 0.000 0.000
0.000 6.812 0.117
0.000 -2.381 6.330
P Pa Pu Sc
4 2 1 1
Cartesian
0.000 -0.044 4.822 P
1.971 3.282 4.862 P
1.971 1.149 1.585 P
0.000 4.475 1.625 P
0.000 2.215 3.223 Pa
1.971 -1.190 3.165 Pa
0.000 0.000 0.000 Pu
1.971 3.406 0.058 Sc

---

# 7
Pu2ScPaP4 | the Alexandria database | PBE | optimized geometry; formation enthalpy at 0 K = -1.275 eV per atom
1.0
-3.125 -0.640 -2.345
4.165 -0.965 -5.287
-1.144 -5.927 3.141
P Pu Pa Sc
4 2 1 1
Cartesian
0.673 -5.526 -2.731 P
0.200 -4.749 1.029 P
-0.777 -2.005 -1.760 P
2.821 -2.143 -3.175 P
1.511 -3.446 -1.073 Pu
-2.134 -3.283 0.398 Pu
0.000 0.000 0.000 Pa
0.520 -0.802 -3.816 Sc

---

# 8
PuSc2PaP4 | the Alexandria database | PBE | optimized geometry; formation enthalpy at 0 K = -1.373 eV per atom
1.0
-2.755 -2.215 -1.638
4.239 -5.127 -0.198
-0.496 -3.579 5.673
P Pa Sc Pu
4 1 2 1
Cartesian
-1.878 -4.331 -0.251 P
1.730 -5.889 0.419 P
2.866 -6.590 4.088 P
-0.741 -5.032 3.418 P
0.742 -3.671 -0.918 Pa
-0.496 -3.579 5.673 Sc
-1.625 -2.897 2.017 Sc
1.872 -4.353 2.737 Pu

---

# 9
SmPu4Pa3P8 | the Alexandria database | PBE | optimized geometry; formation enthalpy at 0 K = -1.280 eV per atom
1.0
-8.015 -0.226 -0.256
0.021 -6.295 4.904
3.756 6.768 2.109
P Pu Pa Sm
8 4 3 1
Cartesian
-2.035 -1.613 1.173 P
-4.127 1.599 2.083 P
-5.971 -1.724 1.047 P
-2.203 1.860 5.584 P
-0.121 1.751 2.228 P
1.733 1.971 5.710 P
-4.117 -1.503 4.529 P
-0.111 -1.352 4.674 P
-4.007 -0.113 -0.128 Pu
0.000 0.000 0.000 Pu
1.878 3.384 1.054 Pu
-2.129 3.271 0.926 Pu
-3.997 -3.260 2.324 Pa
-2.119 0.124 3.378 Pa
1.889 0.237 3.507 Pa
0.010 -3.147 2.452 Sm

---

# 10
SmPu2PaP4 | the Alexandria database | PBE | optimized geometry; formation enthalpy at 0 K = -1.315 eV per atom
1.0
-0.877 -3.473 1.841
-2.786 -2.432 -5.914
6.739 -1.587 0.217
Pu P Pa Sm
2 4 1 1
Cartesian
1.977 -2.009 -2.849 Pu
2.931 -2.530 1.029 Pu
4.351 -1.768 -1.263 P
2.512 -4.766 -3.389 P
-0.397 -2.251 -4.435 P
0.565 -2.726 -0.467 P
0.000 0.000 0.000 Pa
-1.831 -2.953 -2.036 Sm

---

# 11
Sm3Pu2PaP6 | the Alexandria database | PBE | optimized geometry; formation enthalpy at 0 K = -1.404 eV per atom
1.0
7.009 -0.001 0.000
-3.504 6.071 0.000
-1.169 -2.025 6.604
Pa P Pu Sm
1 6 2 3
Cartesian
0.000 0.000 0.000 Pa
-1.156 2.001 1.576 P
-0.013 -0.023 5.029 P
0.025 4.046 5.028 P
3.492 2.044 5.028 P
2.349 4.068 1.576 P
2.311 -0.001 1.576 P
3.502 2.025 0.000 Pu
0.003 4.045 0.000 Pu
4.662 0.005 3.302 Sm
1.168 2.023 3.302 Sm
-2.326 4.040 3.302 Sm

---

# 12
SmPuPa2P4 | the Alexandria database | PBE | optimized geometry; formation enthalpy at 0 K = -1.345 eV per atom
1.0
-2.407 4.570 -2.321
-4.828 -1.160 2.722
5.341 1.436 4.195
P Pu Pa Sm
4 1 2 1
Cartesian
-0.698 2.547 5.738 P
0.846 1.541 2.157 P
-2.739 3.304 2.439 P
-2.406 -0.566 1.381 P
-0.342 3.855 1.038 Pu
-1.552 0.990 3.559 Pa
-4.828 -1.160 2.722 Pa
-3.617 1.705 0.201 Sm

---

# 13
Sm3PuPa2P6 | the Alexandria database | PBE | optimized geometry; formation enthalpy at 0 K = -1.430 eV per atom
1.0
-0.473 -0.865 -6.922
3.790 -4.458 3.828
-6.436 -2.034 1.872
P Pa Sm Pu
6 2 3 1
Cartesian
0.926 -4.437 -1.850 P
-3.127 -4.946 -2.712 P
0.007 -2.411 1.490 P
-4.046 -2.920 0.628 P
-1.429 -1.200 -2.133 P
-1.690 -6.157 0.911 P
0.947 -2.062 -3.341 Pa
2.370 -3.261 0.247 Pa
-0.136 -4.879 2.980 Sm
-1.560 -3.678 -0.611 Sm
-2.984 -2.478 -4.202 Sm
0.000 0.000 0.000 Pu

---

# 14
Sm2PuPa3P6 | the Alexandria database | PBE | optimized geometry; formation enthalpy at 0 K = -1.383 eV per atom
1.0
6.957 -0.002 0.000
-3.479 6.025 0.000
-1.161 -2.010 6.556
Pa Sm P Pu
3 2 6 1
Cartesian
4.623 0.006 3.278 Pa
1.159 2.007 3.278 Pa
-2.305 4.007 3.278 Pa
3.475 2.009 0.000 Sm
0.003 4.014 0.000 Sm
0.023 4.015 4.858 P
2.294 -0.002 1.697 P
2.332 4.037 1.705 P
3.466 2.027 4.858 P
-0.014 -0.024 4.851 P
-1.148 1.986 1.697 P
0.000 0.000 0.000 Pu

---

# 15
Sr3Pu2PaP6 | the Alexandria database | PBE | optimized geometry; formation enthalpy at 0 K = -1.146 eV per atom
1.0
7.208 -0.001 0.001
-3.603 6.242 0.001
-1.202 -2.081 6.890
P Pa Sr Pu
6 1 3 2
Cartesian
2.419 4.189 1.463 P
0.031 4.161 5.429 P
2.371 -0.001 1.462 P
-1.186 2.054 1.462 P
-0.017 -0.029 5.429 P
3.589 2.107 5.429 P
0.000 0.000 0.000 Pa
4.794 0.005 3.446 Sr
1.201 2.080 3.446 Sr
-2.391 4.155 3.446 Sr
0.002 4.161 0.001 Pu
3.603 2.081 0.001 Pu

---

# 16
Tb3PuPa2P6 | the Alexandria database | PBE | optimized geometry; formation enthalpy at 0 K = -1.444 eV per atom
1.0
-3.452 0.400 -1.993
-1.035 -7.909 0.206
-2.175 2.514 8.300
Tb Pa P Pu
3 2 6 1
Cartesian
-4.504 0.700 3.918 Tb
-2.243 -3.755 -0.893 Tb
-2.158 -5.696 2.596 Tb
-1.634 -1.718 2.486 Pa
-5.028 -3.278 4.027 Pa
-0.273 -1.954 0.080 P
-3.639 -3.471 1.581 P
-3.546 -5.403 5.059 P
-3.116 0.407 1.454 P
-3.023 -1.525 4.932 P
-6.390 -3.042 6.433 P
-1.726 0.200 -0.996 Pu

---

# 17
TbPuPa2P4 | the Alexandria database | PBE | optimized geometry; formation enthalpy at 0 K = -1.363 eV per atom
1.0
-1.663 3.460 1.098
-5.975 -1.980 -2.812
-3.794 -3.325 4.729
P Tb Pa Pu
4 1 2 1
Cartesian
-4.086 2.140 1.587 P
-6.284 -0.589 -0.404 P
-7.346 -3.984 1.427 P
-5.148 -1.256 3.418 P
-4.885 -2.652 0.958 Tb
-3.794 -3.325 4.729 Pa
-2.729 0.067 2.913 Pa
-3.819 0.740 -0.857 Pu

---

# 18
TbPu2PaP4 | the Alexandria database | PBE | optimized geometry; formation enthalpy at 0 K = -1.329 eV per atom
1.0
4.009 0.000 0.000
0.000 6.932 0.118
0.000 -2.424 6.461
Pa Tb P Pu
1 1 4 2
Cartesian
2.005 3.466 0.059 Pa
0.000 0.000 0.000 Tb
0.000 4.573 1.693 P
2.005 3.349 4.923 P
0.000 -0.064 4.886 P
2.005 1.160 1.655 P
2.005 -1.212 3.230 Pu
0.000 2.254 3.289 Pu

---

# 19
Tb2PuPa3P6 | the Alexandria database | PBE | optimized geometry; formation enthalpy at 0 K = -1.395 eV per atom
1.0
6.917 -0.003 0.000
-3.459 5.990 0.000
-1.154 -1.997 6.503
P Pa Tb Pu
6 3 2 1
Cartesian
2.308 3.997 1.659 P
2.299 -0.002 1.657 P
3.455 1.999 4.846 P
0.005 3.992 4.846 P
-1.151 1.991 1.657 P
-0.004 -0.007 4.844 P
1.152 1.995 3.251 Pa
-2.298 3.987 3.251 Pa
4.602 0.002 3.251 Pa
3.456 1.996 0.000 Tb
0.001 3.991 0.000 Tb
0.000 0.000 0.000 Pu

---

# 20
TbPu3Pa2P6 | the Alexandria database | PBE | optimized geometry; formation enthalpy at 0 K = -1.310 eV per atom
1.0
6.932 -0.001 0.001
-3.465 6.004 0.001
-1.156 -2.001 6.501
Pa P Pu Tb
2 6 3 1
Cartesian
-0.002 4.004 0.001 Pa
3.469 2.000 0.001 Pa
2.341 0.000 1.616 P
0.015 0.026 4.887 P
2.296 3.976 1.615 P
-0.029 4.002 4.886 P
3.481 1.975 4.886 P
-1.169 2.028 1.616 P
4.637 -0.009 3.251 Pu
1.156 2.001 3.251 Pu
-2.325 4.012 3.251 Pu
0.000 0.000 0.000 Tb

---

# 21
PuPaTeP | the Alexandria database | PBE | optimized geometry; formation energy (no corrections) = -1047.4 meV/atom
1.0
-2.894 2.797 0.611
0.287 -1.879 -3.601
-2.684 -6.426 3.139
P Pa Pu Te
1 1 1 1
Cartesian
-3.075 -5.791 0.944 P
-0.232 -1.959 -3.130 Pa
-3.185 -3.142 1.855 Pu
-3.647 -0.327 0.350 Te

---

# 22
PuThPa2P4 | the Alexandria database | PBE | optimized geometry; formation enthalpy at 0 K = -1.347 eV per atom
1.0
-2.219 2.748 -1.928
-4.870 -4.833 -1.284
-4.620 -0.082 5.202
P Pa Pu Th
4 2 1 1
Cartesian
-4.547 1.554 -0.951 P
-5.774 0.157 2.670 P
-7.162 -3.720 2.941 P
-5.935 -2.322 -0.680 P
-4.620 -0.082 5.202 Pa
-3.419 1.333 1.637 Pa
-3.545 -1.042 -1.606 Pu
-4.745 -2.457 1.959 Th

---

What are the total magnetization values for these records? In order: 4.5, 15.4, 10.7, 5.1, 16.7, 5.4, 0.2, 5.5, 11.6, 10.9, 10.6, 5.5, 5.8, 5.9, 9.0, 5.5, 5.6, 10.9, 5.9, 16.7, 6.0, 5.3 μB/cell.